# 1
Here is an optimized crystal structure of LaY2Ti from Alexandria. Energies are from PBE.

Cell: 6.9329 6.9329 6.9329 Å, 102.96 102.96 123.46°
With the nearest neighbours (Å) after each atom.
Atoms (fractional coordinates):
La (0.0000, 0.0000, 0.0000)  2 Ti 3.28, 4 Y 3.36
La (0.7500, 0.2500, 0.5000)  2 Ti 3.28, 4 Y 3.36
Y (0.1583, 0.6250, 0.0333)  2 Ti 2.97
Y (0.3750, 0.4083, 0.5333)  2 Ti 2.97
Y (0.5917, 0.1250, 0.9667)  2 Ti 2.97
Y (0.8750, 0.8417, 0.4667)  2 Ti 2.97
Ti (0.2500, 0.7500, 0.5000)  4 Y 2.97, 2 La 3.28
Ti (0.5000, 0.5000, 0.0000)  4 Y 2.97, 2 La 3.28

Summary:
Spin magnetization: 5.7 μB per cell
SG: I-42d, No. 122
Density of states at the Fermi level: 6.97 states/eV/f.u.
VASP energy: -5.91 eV/atom

---

# 2
Here is an optimized crystal structure of La2TiZn2 from Alexandria. Energies are from PBE.

Cell: 8.2822 8.2822 3.6817 Å, 90.00 90.00 90.00°
With the nearest neighbours (Å) after each atom.
Atoms (fractional coordinates):
La (0.1845, 0.3155, 0.0000)  6 Zn 3.00-3.13
La (0.3155, 0.8155, 0.0000)  6 Zn 3.00-3.13
La (0.6845, 0.1845, 0.0000)  6 Zn 3.00-3.13
La (0.8155, 0.6845, 0.0000)  6 Zn 3.00-3.13
Ti (0.0000, 0.0000, 0.5000)  4 Zn 3.34, 8 La 3.54, 2 Ti 3.68
Ti (0.5000, 0.5000, 0.5000)  4 Zn 3.34, 8 La 3.54, 2 Ti 3.68
Zn (0.1134, 0.6134, 0.5000)  1 Zn 2.66
Zn (0.3866, 0.1134, 0.5000)  1 Zn 2.66
Zn (0.6134, 0.8866, 0.5000)  1 Zn 2.66
Zn (0.8866, 0.3866, 0.5000)  1 Zn 2.66

Summary:
Spin magnetization: 0.0 μB per cell
SG: P4/mbm, No. 127
Density of states at the Fermi level: 9.43 states/eV/f.u.
VASP energy: -4.00 eV/atom

---

# 3
Here is an optimized crystal structure of LaTiZn3 from Alexandria. Energies are from PBE.

Cell: 5.4517 5.4517 5.4517 Å, 90.00 90.00 90.00°
With the nearest neighbours (Å) after each atom.
Atoms (fractional coordinates):
La (0.0000, 0.0000, 0.0000)  6 Zn 2.73
Ti (0.5000, 0.5000, 0.5000)  12 Zn 3.85
Zn (0.0000, 0.0000, 0.5000)  2 La 2.73
Zn (0.0000, 0.5000, 0.0000)  2 La 2.73
Zn (0.5000, 0.0000, 0.0000)  2 La 2.73

Summary:
Spin magnetization: 2.8 μB per cell
SG: Pm-3m, No. 221
Density of states at the Fermi level: 6.77 states/eV/f.u.
VASP energy: -2.07 eV/atom

---

# 4
Here is an optimized crystal structure of LaTiZn3 from Alexandria. Energies are from PBE.

Cell: 4.9215 4.9215 4.9215 Å, 90.00 90.00 90.00°
With the nearest neighbours (Å) after each atom.
Atoms (fractional coordinates):
La (0.0000, 0.0000, 0.0000)  12 Zn 3.48
Ti (0.5000, 0.5000, 0.5000)  6 Zn 2.46
Zn (0.0000, 0.5000, 0.5000)  2 Ti 2.46
Zn (0.5000, 0.0000, 0.5000)  2 Ti 2.46
Zn (0.5000, 0.5000, 0.0000)  2 Ti 2.46

Summary:
Spin magnetization: 2.2 μB per cell
SG: Pm-3m, No. 221
Density of states at the Fermi level: 6.20 states/eV/f.u.
VASP energy: -3.13 eV/atom

---

# 5
Here is an optimized crystal structure of LaTiZn from Alexandria. Energies are from PBE.

Cell: 4.4739 4.4739 7.0642 Å, 90.00 90.00 90.00°
With the nearest neighbours (Å) after each atom.
Atoms (fractional coordinates):
La (0.2500, 0.2500, 0.1502)  5 Zn 3.13-3.32, 4 Ti 3.33
La (0.7500, 0.7500, 0.8498)  5 Zn 3.13-3.32, 4 Ti 3.33
Ti (0.2500, 0.7500, 0.5000)  4 Zn 2.67
Ti (0.7500, 0.2500, 0.5000)  4 Zn 2.67
Zn (0.2500, 0.2500, 0.7068)  4 Ti 2.67
Zn (0.7500, 0.7500, 0.2932)  4 Ti 2.67

Summary:
Spin magnetization: 0.0 μB per cell
SG: P4/nmm, No. 129
Density of states at the Fermi level: 3.90 states/eV/f.u.
VASP energy: -4.76 eV/atom

---

# 6
Here is an optimized crystal structure of La2Ti2Zn from Alexandria. Energies are from PBE.

Cell: 7.1012 7.1012 4.8049 Å, 90.00 90.00 90.00°
With the nearest neighbours (Å) after each atom.
Atoms (fractional coordinates):
La (0.1701, 0.3299, 0.0000)  6 Ti 3.07-3.26, 1 La 3.42
La (0.3299, 0.8299, 0.0000)  6 Ti 3.07-3.26, 1 La 3.42
La (0.6701, 0.1701, 0.0000)  6 Ti 3.07-3.26, 1 La 3.42
La (0.8299, 0.6701, 0.0000)  6 Ti 3.07-3.26, 1 La 3.42
Ti (0.1392, 0.6392, 0.5000)  2 Zn 2.75, 1 Ti 2.80, 2 La 3.07
Ti (0.3608, 0.1392, 0.5000)  2 Zn 2.75, 1 Ti 2.80, 2 La 3.07
Ti (0.6392, 0.8608, 0.5000)  2 Zn 2.75, 1 Ti 2.80, 2 La 3.07
Ti (0.8608, 0.3608, 0.5000)  2 Zn 2.75, 1 Ti 2.80, 2 La 3.07
Zn (0.0000, 0.0000, 0.5000)  4 Ti 2.75
Zn (0.5000, 0.5000, 0.5000)  4 Ti 2.75

Summary:
Spin magnetization: 0.0 μB per cell
SG: P4/mbm, No. 127
Density of states at the Fermi level: 7.79 states/eV/f.u.
VASP energy: -5.21 eV/atom